# ReHgI

A relaxed ReHgI crystal (PBE, Alexandria via LeMat-Bulk).

extended XYZ file:
```
9
Lattice="-2.851 -1.670 -0.280 2.455 -0.536 -2.163 7.669 -15.183 12.463" Properties=species:S:1:pos:R:3 pbc="T T T"
Re 5.495 -10.878 8.929
Re 3.625 -6.731 3.239
Re -0.700 -2.048 -0.288
Hg 1.183 -2.341 1.922
Hg 6.982 -13.377 8.695
Hg 2.657 -8.694 5.168
I 7.367 -14.584 11.971
I 5.497 -10.437 6.281
I 1.172 -5.754 2.755
```

D(E_F) in states/eV/f.u.: 2.81
Energy relative to the elements, uncorrected in meV per atom: 1042
Calculated density in Mg/m³: 12.75
Symmetry: R3m



# ReHgRh2I

A relaxed ReHgRh2I crystal (PBE, Alexandria via LeMat-Bulk).

extended XYZ file:
```
5
Lattice="-2.610 3.167 2.565 -4.290 -0.907 -3.246 -1.458 -3.570 2.924" Properties=species:S:1:pos:R:3 pbc="T T T"
I 0.000 0.000 0.000
Re -4.179 -0.655 1.121
Rh -0.729 -1.785 1.462
Rh -1.305 1.583 1.283
Hg -2.145 -0.453 -1.623
```

D(E_F) in states/eV/f.u.: 5.54
Energy relative to the elements, uncorrected in meV per atom: 2040
Calculated density in Mg/m³: 9.35
Symmetry: P4/mmm



# ReHg2SbI

A relaxed ReHg2SbI crystal (PBE, Alexandria via LeMat-Bulk).

extended XYZ file:
```
5
Lattice="-4.034 2.267 -3.697 1.550 -4.028 -4.161 -4.058 -3.755 2.124" Properties=species:S:1:pos:R:3 pbc="T T T"
I 0.000 0.000 0.000
Re -3.271 -2.758 -2.867
Hg -2.029 -1.878 1.062
Hg -2.017 1.134 -1.849
Sb 0.775 -2.014 -2.080
```

D(E_F) in states/eV/f.u.: 4.04
Energy relative to the elements, uncorrected in meV per atom: 1875
Calculated density in Mg/m³: 6.60
Symmetry: P4/mmm



# ReHgSbI2

A relaxed ReHgSbI2 crystal (PBE, Alexandria via LeMat-Bulk).

extended XYZ file:
```
5
Lattice="-1.767 5.342 1.726 -4.577 -2.418 2.800 3.144 -0.485 4.721" Properties=species:S:1:pos:R:3 pbc="T T T"
I -2.288 -1.209 1.400
I -0.883 2.671 0.863
Re -1.599 1.219 4.623
Hg 0.000 0.000 0.000
Sb 1.572 -0.243 2.360
```

D(E_F) in states/eV/f.u.: 1.46
Energy relative to the elements, uncorrected in meV per atom: 1557
Calculated density in Mg/m³: 6.42
Symmetry: P4/mmm



# ReHgSbI2

A relaxed ReHgSbI2 crystal (PBE, Alexandria via LeMat-Bulk).

extended XYZ file:
```
5
Lattice="5.659 0.000 0.000 0.000 5.659 0.000 0.000 0.000 5.141" Properties=species:S:1:pos:R:3 pbc="T T T"
I 0.000 2.829 0.000
I 2.829 0.000 0.000
Re 0.000 0.000 0.000
Hg 2.829 2.829 2.570
Sb 0.000 0.000 2.570
```

D(E_F) in states/eV/f.u.: 3.94
Energy relative to the elements, uncorrected in meV per atom: 600
Calculated density in Mg/m³: 7.69
Symmetry: P4/mmm



# ReHgTe2I

A relaxed ReHgTe2I crystal (PBE, Alexandria via LeMat-Bulk).

extended XYZ file:
```
5
Lattice="-1.133 -4.118 3.681 1.220 -3.851 -3.933 5.561 0.006 1.719" Properties=species:S:1:pos:R:3 pbc="T T T"
I 2.781 0.003 0.859
Re 2.824 -3.981 0.733
Te 0.610 -1.925 -1.966
Te -0.566 -2.059 1.840
Hg 0.000 0.000 0.000
```

D(E_F) in states/eV/f.u.: 6.62
Energy relative to the elements, uncorrected in meV per atom: 1602
Calculated density in Mg/m³: 6.90
Symmetry: P4/mmm



# ReHgTe2I

A relaxed ReHgTe2I crystal (PBE, Alexandria via LeMat-Bulk).

extended XYZ file:
```
5
Lattice="-1.362 2.469 4.353 0.503 -4.421 2.665 5.654 1.274 1.047" Properties=species:S:1:pos:R:3 pbc="T T T"
I 2.827 0.637 0.523
Re 0.000 0.000 0.000
Te 0.251 -2.210 1.332
Te -0.681 1.234 2.176
Hg 2.397 -0.339 4.032
```

D(E_F) in states/eV/f.u.: 5.39
Energy relative to the elements, uncorrected in meV per atom: 529
Calculated density in Mg/m³: 8.06
Symmetry: P4/mmm



# ReHgTeI2

A relaxed ReHgTeI2 crystal (PBE, Alexandria via LeMat-Bulk).

extended XYZ file:
```
5
Lattice="-0.378 -2.583 -5.052 -4.936 -2.347 1.569 -2.513 4.032 -1.874" Properties=species:S:1:pos:R:3 pbc="T T T"
I -2.468 -1.174 0.785
I -0.189 -1.292 -2.526
Re 0.000 0.000 0.000
Te -1.257 2.016 -0.937
Hg -3.913 -0.449 -2.678
```

D(E_F) in states/eV/f.u.: 4.06
Energy relative to the elements, uncorrected in meV per atom: 519
Calculated density in Mg/m³: 7.72
Symmetry: P4/mmm



# ReHgTeI2

A relaxed ReHgTeI2 crystal (PBE, Alexandria via LeMat-Bulk).

extended XYZ file:
```
5
Lattice="5.847 0.000 0.000 0.000 5.847 0.000 0.000 0.000 5.732" Properties=species:S:1:pos:R:3 pbc="T T T"
I 0.000 2.923 0.000
I 2.923 0.000 0.000
Re 2.923 2.923 2.866
Te 0.000 0.000 2.866
Hg 0.000 0.000 0.000
```

D(E_F) in states/eV/f.u.: 4.92
Energy relative to the elements, uncorrected in meV per atom: 1447
Calculated density in Mg/m³: 6.51
Symmetry: P4/mmm



# HgRhI

A relaxed HgRhI crystal (PBE, Alexandria via LeMat-Bulk).

extended XYZ file:
```
6
Lattice="-1.948 -1.349 3.203 -1.731 -0.141 -3.590 4.595 -10.879 -1.788" Properties=species:S:1:pos:R:3 pbc="T T T"
Hg -2.409 -0.726 -1.771
Hg -0.108 -6.165 -2.663
Rh -0.807 -5.077 -0.151
Rh 0.451 -8.057 -0.641
I 2.812 -8.257 -1.768
I 0.585 -2.983 -0.901
```

D(E_F) in states/eV/f.u.: 2.62
Energy relative to the elements, uncorrected in meV per atom: 149
Calculated density in Mg/m³: 8.69
Symmetry: Amm2



# HgRhI4

A relaxed HgRhI4 crystal (PBE, Alexandria via LeMat-Bulk).

extended XYZ file:
```
12
Lattice="-4.531 5.568 0.552 -2.348 -4.001 -5.757 -1.821 -5.609 8.102" Properties=species:S:1:pos:R:3 pbc="T T T"
Hg -3.272 -1.494 -1.731
Hg -5.427 -2.548 4.628
Rh -3.994 3.629 1.037
Rh -4.706 -7.672 1.860
I -2.562 -2.429 5.239
I -2.463 -3.506 -4.023
I -1.999 -2.836 0.544
I -5.545 -5.409 3.305
I -6.138 -1.613 -2.342
I -6.701 -1.206 2.353
I -6.236 -0.537 6.920
I -3.155 1.367 -0.408
```

D(E_F) in states/eV/f.u.: 4.45
Energy relative to the elements, uncorrected in meV per atom: -155
Calculated density in Mg/m³: 5.85
Symmetry: C2/c



# HgRh2I

A relaxed HgRh2I crystal (PBE, Alexandria via LeMat-Bulk).

extended XYZ file:
```
4
Lattice="-3.609 0.548 2.987 -4.248 1.240 -1.635 -3.538 -3.120 0.022" Properties=species:S:1:pos:R:3 pbc="T T T"
I 0.000 0.000 0.000
Rh -2.849 -0.333 0.344
Rh -8.546 -0.999 1.031
Hg -5.698 -0.666 0.687
```

D(E_F) in states/eV/f.u.: 3.71
Energy relative to the elements, uncorrected in meV per atom: 517
Calculated density in Mg/m³: 11.93
Symmetry: Fm-3m



# HgRh2I

A relaxed HgRh2I crystal (PBE, Alexandria via LeMat-Bulk).

extended XYZ file:
```
8
Lattice="-4.968 -2.092 -3.146 -1.355 -3.865 4.709 -6.297 0.962 3.113" Properties=species:S:1:pos:R:3 pbc="T T T"
I -3.161 -2.978 0.782
I -5.406 -2.941 4.302
Rh -4.728 -1.499 -0.523
Rh -3.163 -2.487 3.252
Rh -7.126 -1.606 3.035
Rh -10.222 -4.397 3.588
Hg 0.000 0.000 0.000
Hg -7.213 -2.054 0.374
```

D(E_F) in states/eV/f.u.: 6.11
Energy relative to the elements, uncorrected in meV per atom: 667
Calculated density in Mg/m³: 8.19
Symmetry: I-42d



# HgRhI3

A relaxed HgRhI3 crystal (PBE, Alexandria via LeMat-Bulk).

extended XYZ file:
```
5
Lattice="5.462 0.000 0.000 0.000 5.462 0.000 0.000 0.000 5.462" Properties=species:S:1:pos:R:3 pbc="T T T"
I 0.000 2.731 0.000
I 0.000 0.000 2.731
I 2.731 0.000 0.000
Rh 0.000 0.000 0.000
Hg 2.731 2.731 2.731
```

D(E_F) in states/eV/f.u.: 5.90
Energy relative to the elements, uncorrected in meV per atom: 115
Calculated density in Mg/m³: 6.97
Symmetry: Pm-3m



# Hg3RhI9

A relaxed Hg3RhI9 crystal (PBE, Alexandria via LeMat-Bulk).

extended XYZ file:
```
26
Lattice="-9.517 -1.847 -4.046 -1.782 -9.558 -5.082 -7.709 -6.015 7.242" Properties=species:S:1:pos:R:3 pbc="T T T"
Hg -13.975 -11.469 -1.136
Hg -10.395 -3.909 -2.711
Hg -8.136 -13.783 1.162
Hg -5.489 -6.404 -0.810
Hg -11.422 -7.753 1.928
Hg -7.619 -9.361 -3.877
Rh -1.208 -4.899 -2.612
Rh -8.322 -3.933 1.786
I -6.247 -3.829 0.087
I -9.096 -11.248 1.973
I -10.802 -8.928 4.429
I -9.387 -11.000 -2.391
I -6.690 -5.159 3.530
I -3.082 -6.806 -2.358
I -8.909 -8.733 -6.483
I -8.976 -6.399 0.911
I -11.856 -12.461 -5.083
I -16.392 -10.994 0.411
I -11.883 -13.432 -1.198
I -11.067 -6.408 -3.948
I -7.308 -6.628 -3.068
I -14.839 -14.955 -3.172
I -12.447 -8.996 -0.450
I -4.906 -9.879 -4.666
I -7.992 -2.564 -3.719
I -5.723 -8.989 0.342
```

Energy relative to the elements, uncorrected in meV per atom: -197
Calculated density in Mg/m³: 5.53
Symmetry: Cc



# HgSbRhI2

A relaxed HgSbRhI2 crystal (PBE, Alexandria via LeMat-Bulk).

extended XYZ file:
```
5
Lattice="5.652 0.000 0.000 0.000 5.652 0.000 0.000 0.000 5.012" Properties=species:S:1:pos:R:3 pbc="T T T"
I 0.000 2.826 0.000
I 2.826 0.000 0.000
Sb 0.000 0.000 2.506
Rh 0.000 0.000 0.000
Hg 2.826 2.826 2.506
```

D(E_F) in states/eV/f.u.: 3.07
Energy relative to the elements, uncorrected in meV per atom: 153
Calculated density in Mg/m³: 7.04
Symmetry: P4/mmm



# HgSb2RhI

A relaxed HgSb2RhI crystal (PBE, Alexandria via LeMat-Bulk).

extended XYZ file:
```
5
Lattice="5.134 0.000 0.000 0.000 5.134 0.000 0.000 0.000 5.788" Properties=species:S:1:pos:R:3 pbc="T T T"
I 0.000 0.000 2.894
Sb 0.000 2.567 0.000
Sb 2.567 0.000 0.000
Rh 0.000 0.000 0.000
Hg 2.567 2.567 2.894
```

D(E_F) in states/eV/f.u.: 3.63
Energy relative to the elements, uncorrected in meV per atom: 236
Calculated density in Mg/m³: 7.34
Symmetry: P4/mmm



# HgSb2RhI

A relaxed HgSb2RhI crystal (PBE, Alexandria via LeMat-Bulk).

extended XYZ file:
```
5
Lattice="5.457 0.000 0.000 0.000 5.457 0.000 0.000 0.000 5.801" Properties=species:S:1:pos:R:3 pbc="T T T"
I 0.000 0.000 2.901
Sb 0.000 2.729 0.000
Sb 2.729 0.000 0.000
Rh 2.729 2.729 2.901
Hg 0.000 0.000 0.000
```

D(E_F) in states/eV/f.u.: 6.69
Energy relative to the elements, uncorrected in meV per atom: 1301
Calculated density in Mg/m³: 6.48
Symmetry: P4/mmm



# HgTe2RhI

A relaxed HgTe2RhI crystal (PBE, Alexandria via LeMat-Bulk).

extended XYZ file:
```
5
Lattice="5.233 0.000 0.000 0.000 5.233 0.000 0.000 0.000 5.632" Properties=species:S:1:pos:R:3 pbc="T T T"
I 0.000 0.000 2.816
Te 0.000 2.616 0.000
Te 2.616 0.000 0.000
Rh 0.000 0.000 0.000
Hg 2.616 2.616 2.816
```

D(E_F) in states/eV/f.u.: 7.05
Energy relative to the elements, uncorrected in meV per atom: 247
Calculated density in Mg/m³: 7.38
Symmetry: P4/mmm



# HgTe2RhI

A relaxed HgTe2RhI crystal (PBE, Alexandria via LeMat-Bulk).

extended XYZ file:
```
5
Lattice="-4.572 0.320 -3.168 -2.165 -4.376 2.683 -2.493 3.667 3.969" Properties=species:S:1:pos:R:3 pbc="T T T"
I -1.247 1.834 1.984
Te -1.082 -2.188 1.342
Te -2.286 0.160 -1.584
Rh -4.615 -0.195 1.742
Hg 0.000 0.000 0.000
```

D(E_F) in states/eV/f.u.: 8.27
Energy relative to the elements, uncorrected in meV per atom: 1147
Calculated density in Mg/m³: 6.16
Symmetry: P4/mmm



# VHgRhI2

A relaxed VHgRhI2 crystal (PBE, Alexandria via LeMat-Bulk).

extended XYZ file:
```
5
Lattice="-0.797 -2.480 -4.749 -0.625 -4.506 2.458 -5.317 0.953 0.394" Properties=species:S:1:pos:R:3 pbc="T T T"
I -2.659 0.476 0.197
I -0.398 -1.240 -2.374
Rh 0.000 0.000 0.000
Hg -0.313 -2.253 1.229
V -3.370 -3.017 -0.948
```

D(E_F) in states/eV/f.u.: 7.19
Energy relative to the elements, uncorrected in meV per atom: 660
Calculated density in Mg/m³: 6.66
Symmetry: P4/mmm



# ZrHgRh2I

A relaxed ZrHgRh2I crystal (PBE, Alexandria via LeMat-Bulk).

extended XYZ file:
```
5
Lattice="4.979 0.000 0.000 0.000 5.303 0.000 0.000 0.000 4.979" Properties=species:S:1:pos:R:3 pbc="T T T"
I 0.000 2.651 0.000
Rh 0.000 0.000 2.489
Rh 2.489 0.000 0.000
Hg 0.000 0.000 0.000
Zr 2.489 2.651 2.489
```

D(E_F) in states/eV/f.u.: 5.71
Energy relative to the elements, uncorrected in meV per atom: 1414
Calculated density in Mg/m³: 7.89
Symmetry: P4/mmm



# HgRuI2

A relaxed HgRuI2 crystal (PBE, Alexandria via LeMat-Bulk).

extended XYZ file:
```
8
Lattice="8.025 0.000 0.000 0.000 8.025 0.000 4.013 4.013 4.673" Properties=species:S:1:pos:R:3 pbc="T T T"
I 5.115 2.006 1.168
I 2.910 6.019 1.168
I 6.019 6.922 3.504
I 10.032 9.128 3.504
Ru 4.013 4.013 0.000
Ru 4.013 8.025 2.336
Hg 0.000 0.000 0.000
Hg 8.025 4.013 2.336
```

D(E_F) in states/eV/f.u.: 0.76
Energy relative to the elements, uncorrected in meV per atom: 330
Calculated density in Mg/m³: 6.13
Symmetry: I-42d



# HgRu2I

A relaxed HgRu2I crystal (PBE, Alexandria via LeMat-Bulk).

extended XYZ file:
```
8
Lattice="-4.236 5.336 2.435 -5.865 -3.841 -1.786 -5.061 -0.551 3.152" Properties=species:S:1:pos:R:3 pbc="T T T"
I -5.050 0.748 0.325
I -7.989 -1.822 0.845
Ru -4.502 2.536 2.004
Ru -5.604 -1.690 0.059
Ru -7.783 0.017 2.547
Ru -12.435 1.026 2.992
Hg 0.000 0.000 0.000
Hg -7.174 2.767 2.956
```

D(E_F) in states/eV/f.u.: 5.99
Energy relative to the elements, uncorrected in meV per atom: 1135
Calculated density in Mg/m³: 10.80
Symmetry: I-42d



# HgRuI2

A relaxed HgRuI2 crystal (PBE, Alexandria via LeMat-Bulk).

extended XYZ file:
```
4
Lattice="0.000 3.771 3.771 3.771 0.000 3.771 3.771 3.771 0.000" Properties=species:S:1:pos:R:3 pbc="T T T"
I 1.886 1.886 1.886
I 5.657 5.657 5.657
Ru 0.000 0.000 0.000
Hg 3.771 3.771 3.771
```

D(E_F) in states/eV/f.u.: 2.51
Energy relative to the elements, uncorrected in meV per atom: 831
Calculated density in Mg/m³: 8.60
Symmetry: Fm-3m



# HgRuI3

A relaxed HgRuI3 crystal (PBE, Alexandria via LeMat-Bulk).

extended XYZ file:
```
5
Lattice="-4.558 2.422 1.905 -0.773 -4.191 3.480 2.983 2.616 3.812" Properties=species:S:1:pos:R:3 pbc="T T T"
I -0.386 -2.095 1.740
I 1.492 1.308 1.906
I -2.279 1.211 0.953
Ru 0.000 0.000 0.000
Hg -1.174 0.424 4.599
```

D(E_F) in states/eV/f.u.: 5.49
Energy relative to the elements, uncorrected in meV per atom: 276
Calculated density in Mg/m³: 6.80
Symmetry: Pm-3m



# HgRu2I

A relaxed HgRu2I crystal (PBE, Alexandria via LeMat-Bulk).

extended XYZ file:
```
4
Lattice="0.000 3.302 3.302 3.302 0.000 3.302 3.302 3.302 0.000" Properties=species:S:1:pos:R:3 pbc="T T T"
I 0.000 0.000 0.000
Ru 1.651 1.651 1.651
Ru 4.953 4.953 4.953
Hg 3.302 3.302 3.302
```

D(E_F) in states/eV/f.u.: 6.29
Energy relative to the elements, uncorrected in meV per atom: 946
Calculated density in Mg/m³: 12.21
Symmetry: Fm-3m